# 1
Below is a geometry-optimized YTmSc2 structure, with properties calculated at the PBE level.

Cell and atoms, written as CIF:
```
data_YTmSc2
_symmetry_space_group_name_H-M 'P 1'
_symmetry_Int_Tables_number 1
_symmetry_space_group_name_Hall 'P 1'
_cell_length_a 3.412
_cell_length_b 3.412
_cell_length_c 11.153
_cell_angle_alpha 81.20
_cell_angle_beta 81.20
_cell_angle_gamma 60.00
loop_
_atom_site_label
_atom_site_type_symbol
_atom_site_fract_x
_atom_site_fract_y
_atom_site_fract_z
_atom_site_occupancy
Y1 Y 0.000 0.000 0.000 1
Sc1 Sc 0.751 0.751 0.747 1
Sc2 Sc 0.249 0.249 0.253 1
Tm1 Tm 0.500 0.500 0.500 1
```

Results
- energy above the most stable polymorph in this dataset (eV/atom) = 0.021
- mass density (Mg/m³) = 5.2
- calculated volume (Å³ per cell) = 111
- space-group type = R-3m (166)
- calculated formation energy (eV/f.u.) = 0.3

---

# 2
Below is a geometry-optimized LaMg14Fe structure, with properties calculated at the PBE level.

Cell and atoms, written as CIF:
```
data_LaMg14Fe
_symmetry_space_group_name_H-M 'P 1'
_symmetry_Int_Tables_number 1
_symmetry_space_group_name_Hall 'P 1'
_cell_length_a 6.479
_cell_length_b 6.479
_cell_length_c 10.206
_cell_angle_alpha 90.00
_cell_angle_beta 90.00
_cell_angle_gamma 120.00
loop_
_atom_site_label
_atom_site_type_symbol
_atom_site_fract_x
_atom_site_fract_y
_atom_site_fract_z
_atom_site_occupancy
La1 La 0.000 0.000 0.500 1
Mg1 Mg 0.991 0.495 0.000 1
Mg2 Mg 0.017 0.509 0.500 1
Mg3 Mg 0.505 0.009 0.000 1
Mg4 Mg 0.491 0.983 0.500 1
Mg5 Mg 0.505 0.495 0.000 1
Mg6 Mg 0.491 0.509 0.500 1
Mg7 Mg 0.163 0.837 0.230 1
Mg8 Mg 0.163 0.837 0.770 1
Mg9 Mg 0.163 0.325 0.230 1
Mg10 Mg 0.163 0.325 0.770 1
Mg11 Mg 0.675 0.837 0.230 1
Mg12 Mg 0.675 0.837 0.770 1
Mg13 Mg 0.667 0.333 0.264 1
Mg14 Mg 0.667 0.333 0.736 1
Fe1 Fe 0.000 0.000 0.000 1
```

Results
- energy above the most stable polymorph in this dataset (eV/atom) = 0.015
- mass density (Mg/m³) = 2.4
- calculated volume (Å³ per cell) = 371
- space-group type = P-6m2 (187)
- calculated formation energy (eV/f.u.) = 1.5

---

# 3
Below is a geometry-optimized Tb2HoHg3 structure, with properties calculated at the PBE level.

Cell and atoms, written as CIF:
```
data_Tb2HoHg3
_symmetry_space_group_name_H-M 'P 1'
_symmetry_Int_Tables_number 1
_symmetry_space_group_name_Hall 'P 1'
_cell_length_a 5.264
_cell_length_b 5.264
_cell_length_c 12.950
_cell_angle_alpha 90.00
_cell_angle_beta 90.00
_cell_angle_gamma 120.00
loop_
_atom_site_label
_atom_site_type_symbol
_atom_site_fract_x
_atom_site_fract_y
_atom_site_fract_z
_atom_site_occupancy
Tb1 Tb 0.000 0.000 0.500 1
Tb2 Tb 0.333 0.667 0.168 1
Tb3 Tb 0.667 0.333 0.832 1
Tb4 Tb 0.000 0.000 0.000 1
Ho1 Ho 0.333 0.667 0.667 1
Ho2 Ho 0.667 0.333 0.333 1
Hg1 Hg 0.333 0.667 0.417 1
Hg2 Hg 0.667 0.333 0.084 1
Hg3 Hg 0.000 0.000 0.749 1
Hg4 Hg 0.000 0.000 0.251 1
Hg5 Hg 0.333 0.667 0.916 1
Hg6 Hg 0.667 0.333 0.583 1
```

Results
- mass density (Mg/m³) = 11.6
- calculated volume (Å³ per cell) = 311
- space-group type = P-3m1 (164)
- calculated formation energy (eV/f.u.) = -2.9

---

# 4
Below is a geometry-optimized CdH4Rh2 structure, with properties calculated at the PBE level.

Cell and atoms, written as CIF:
```
data_CdH4Rh2
_symmetry_space_group_name_H-M 'P 1'
_symmetry_Int_Tables_number 1
_symmetry_space_group_name_Hall 'P 1'
_cell_length_a 5.607
_cell_length_b 5.607
_cell_length_c 5.607
_cell_angle_alpha 115.64
_cell_angle_beta 115.63
_cell_angle_gamma 97.75
loop_
_atom_site_label
_atom_site_type_symbol
_atom_site_fract_x
_atom_site_fract_y
_atom_site_fract_z
_atom_site_occupancy
Cd1 Cd 0.250 0.750 0.500 1
Cd2 Cd 0.000 0.000 0.000 1
H1 H 0.865 0.179 0.314 1
H2 H 0.385 0.571 0.186 1
H3 H 0.865 0.550 0.686 1
H4 H 0.821 0.135 0.686 1
H5 H 0.449 0.135 0.314 1
H6 H 0.385 0.200 0.814 1
H7 H 0.429 0.615 0.814 1
H8 H 0.801 0.615 0.186 1
Rh1 Rh 0.625 0.375 0.750 1
Rh2 Rh 0.625 0.875 0.250 1
Rh3 Rh 0.625 0.375 0.250 1
Rh4 Rh 0.125 0.375 0.750 1
```

Results
- E_tot (eV/atom) = -4.14
- mass density (Mg/m³) = 8.1
- calculated volume (Å³ per cell) = 132
- space-group type = I4_1/amd (141)

---

| no. | total magnetization (μB per formula unit) |
| --- | --- |
| 1 | 0.00 |
| 2 | 3.41 |
| 3 | 0.41 |
| 4 | 0.00 |